Record 1
# Pm2CdGe2Rh5 (PBE, relaxed)
data_Pm2CdGe2Rh5
_chemical_formula_sum 'Pm4 Cd2 Ge4 Rh10'
_space_group_name_H-M_alt 'P 1'
_space_group_IT_number 1
_cell_length_a 3.628
_cell_length_b 9.964
_cell_length_c 9.964
_cell_angle_alpha 90.00
_cell_angle_beta 90.00
_cell_angle_gamma 90.00
loop_
_space_group_symop_operation_xyz
'x,y,z'
loop_
_atom_site_label
_atom_site_type_symbol
_atom_site_fract_x
_atom_site_fract_y
_atom_site_fract_z
Cd1 Cd 0.000 0.000 0.000
Cd2 Cd 0.000 0.500 0.500
Rh1 Rh 0.500 0.714 0.432
Rh2 Rh 0.500 0.568 0.714
Rh3 Rh 0.500 0.214 0.068
Rh4 Rh 0.500 0.068 0.786
Rh5 Rh 0.500 0.432 0.286
Rh6 Rh 0.500 0.932 0.214
Rh7 Rh 0.500 0.000 0.500
Rh8 Rh 0.500 0.286 0.568
Rh9 Rh 0.500 0.500 0.000
Rh10 Rh 0.500 0.786 0.932
Pm1 Pm 0.000 0.825 0.675
Pm2 Pm 0.000 0.675 0.175
Pm3 Pm 0.000 0.325 0.825
Pm4 Pm 0.000 0.175 0.325
Ge1 Ge 0.000 0.123 0.623
Ge2 Ge 0.000 0.623 0.877
Ge3 Ge 0.000 0.377 0.123
Ge4 Ge 0.000 0.877 0.377
# Final energy: -126.8 eV for the cell shown
# Formation energy: -0.698 eV/atom
# M_tot: 0.00 Bohr magnetons per cell
# Space group: P4/mbm (127)

Record 2
# BiPb2S4 (PBE, relaxed)
data_BiPb2S4
_chemical_formula_sum 'Bi2 Pb4 S8'
_space_group_name_H-M_alt 'P 1'
_space_group_IT_number 1
_cell_length_a 3.952
_cell_length_b 7.079
_cell_length_c 13.777
_cell_angle_alpha 90.00
_cell_angle_beta 90.00
_cell_angle_gamma 106.21
loop_
_space_group_symop_operation_xyz
'x,y,z'
loop_
_atom_site_label
_atom_site_type_symbol
_atom_site_fract_x
_atom_site_fract_y
_atom_site_fract_z
S1 S 0.221 0.441 0.878
S2 S 0.500 0.000 0.500
S3 S 0.779 0.559 0.378
S4 S 0.500 0.000 0.000
S5 S 0.983 0.965 0.750
S6 S 0.221 0.441 0.622
S7 S 0.779 0.559 0.122
S8 S 0.017 0.035 0.250
Pb1 Pb 0.129 0.258 0.069
Pb2 Pb 0.129 0.258 0.431
Pb3 Pb 0.871 0.742 0.569
Pb4 Pb 0.871 0.742 0.931
Bi1 Bi 0.625 0.250 0.750
Bi2 Bi 0.375 0.750 0.250
# Final energy: -59.8 eV for the cell shown
# Distance to the lowest polymorph of the same formula: 0.038 eV/atom
# M_tot: 0.00 Bohr magnetons per cell
# Space group: Cmcm (63)
# Formation energy without anion corrections: -0.2979 eV per atom

Record 3
# LaCu3Cl (PBE, relaxed)
data_LaCu3Cl
_chemical_formula_sum 'La1 Cu3 Cl1'
_space_group_name_H-M_alt 'P 1'
_space_group_IT_number 1
_cell_length_a 5.451
_cell_length_b 5.451
_cell_length_c 5.451
_cell_angle_alpha 90.00
_cell_angle_beta 90.00
_cell_angle_gamma 90.00
loop_
_space_group_symop_operation_xyz
'x,y,z'
loop_
_atom_site_label
_atom_site_type_symbol
_atom_site_fract_x
_atom_site_fract_y
_atom_site_fract_z
La1 La 0.000 0.000 0.000
Cl1 Cl 0.500 0.500 0.500
Cu1 Cu 0.000 0.500 0.000
Cu2 Cu 0.000 0.000 0.500
Cu3 Cu 0.500 0.000 0.000
# Final energy: -13.8 eV for the cell shown
# Distance to the lowest polymorph of the same formula: 0.563 eV/atom
# M_tot: 0.00 Bohr magnetons per cell
# Space group: Pm-3m (221)
# Formation energy without anion corrections: 1.0481 eV per atom

Record 4
# AcAlGeO6 (PBE, relaxed)
data_AcAlGeO6
_chemical_formula_sum 'Ac1 Al1 Ge1 O6'
_space_group_name_H-M_alt 'P 1'
_space_group_IT_number 1
_cell_length_a 5.098
_cell_length_b 5.098
_cell_length_c 5.310
_cell_angle_alpha 90.00
_cell_angle_beta 90.00
_cell_angle_gamma 60.00
loop_
_space_group_symop_operation_xyz
'x,y,z'
loop_
_atom_site_label
_atom_site_type_symbol
_atom_site_fract_x
_atom_site_fract_y
_atom_site_fract_z
O1 O 0.380 0.620 0.301
O2 O 0.000 0.380 0.301
O3 O 0.380 0.000 0.699
O4 O 0.000 0.620 0.699
O5 O 0.620 0.380 0.699
O6 O 0.620 0.000 0.301
Al1 Al 0.333 0.333 0.500
Ac1 Ac 0.000 0.000 0.000
Ge1 Ge 0.667 0.667 0.500
# Final energy: -61.7 eV for the cell shown
# M_tot: 2.04 Bohr magnetons per cell
# Space group: P312 (149)
# Formation energy without anion corrections: -2.1602 eV per atom